Compound: Mn2SnSe2
Source: Alexandria via LeMat-Bulk
Functional: GGA-PBE
Structure: relaxed

a b c (Å): 3.970 3.970 7.239
angles (deg): 74.09 74.09 90.00
Last column: magnetic moment on the atom in μB.
Sites, in units of the cell vectors:
Mn (0.750, 0.250, 0.500)  3.47
Mn (0.250, 0.750, 0.500)  3.47
Sn (0.000, 0.000, 0.000)  0.02
Se (0.368, 0.368, 0.264)  0.01
Se (0.632, 0.632, 0.736)  0.01

Formation energy without anion corrections in eV/atom: -0.0412
Calculated density in g/cm3: 6.10
Space group: No. 139
Spin magnetization in μB/f.u.: 7.436